Density functional theory data (GGA-PBE) for a relaxed In2HCl crystal.

Calculated values
The value obtained for the total energy is -21.99 eV for the cell shown. Its density of states at the Fermi level is 0.0 states/eV per cell. As for the space-group type: I-42d (122).

abc: 7.162 7.162 7.162
angles: 128.61 128.61 75.64
Fractional positions:
In: 0.024 0.625 0.899
In: 0.375 0.274 0.399
In: 0.726 0.125 0.101
In: 0.875 0.976 0.601
H: 0.000 0.000 0.000
H: 0.750 0.250 0.500
Cl: 0.250 0.750 0.500
Cl: 0.500 0.500 0.000